Entry 1:
The following is a DFT calculation (PBE) of a relaxed structure of GaCo5Ni2.

Values from the calculation:
E_tot, eV for the cell shown: -100.43

Cell and atoms, written as CIF:
```
data_GaCo5Ni2
_symmetry_space_group_name_H-M 'A m m 2'
_symmetry_Int_Tables_number 38
_cell_length_a 4.064
_cell_length_b 5.002
_cell_length_c 8.781
_cell_angle_alpha 90.00
_cell_angle_beta 90.00
_cell_angle_gamma 90.00
loop_
_symmetry_equiv_pos_as_xyz
'x,y,z'
'-x,-y,z'
'-x,y,z'
'x,-y,z'
'x,y+1/2,z+1/2'
'-x,-y+1/2,z+1/2'
'-x,y+1/2,z+1/2'
'x,-y+1/2,z+1/2'
loop_
_atom_site_label
_atom_site_type_symbol
_atom_site_fract_x
_atom_site_fract_y
_atom_site_fract_z
_atom_site_occupancy
Ga1 Ga 0.000 0.000 0.000 1
Co1 Co 0.000 0.246 0.748 1
Co2 Co 0.500 0.000 0.661 1
Co3 Co 0.500 0.250 0.405 1
Ni1 Ni 0.000 0.000 0.497 1
Ni2 Ni 0.500 0.000 0.162 1
```


Entry 2:
The following is a DFT calculation (PBE) of a relaxed structure of BeGaTc.

Values from the calculation:
Offset from the most stable computed form, eV per atom: 0.4191

Cell and atoms, written as CIF:
```
data_BeGaTc
_symmetry_space_group_name_H-M 'F -4 3 m'
_symmetry_Int_Tables_number 216
_symmetry_space_group_name_Hall 'F -4 2 3'
_cell_length_a 5.709
_cell_length_b 5.709
_cell_length_c 5.709
_cell_angle_alpha 90.00
_cell_angle_beta 90.00
_cell_angle_gamma 90.00
loop_
_atom_site_label
_atom_site_type_symbol
_atom_site_fract_x
_atom_site_fract_y
_atom_site_fract_z
_atom_site_occupancy
Be1 Be 0.000 0.000 0.000 1
Ga1 Ga 0.000 0.000 0.500 1
Tc1 Tc 0.250 0.250 0.750 1
```


Table of size of the total moment (μB per formula unit), in record order: 8.51, 0.91